No. 1
Entry from Alexandria: an optimized crystal structure of InTcTeMo2 (GGA-PBE).

```
InTcTeMo2
1.0
4.9972 0.0000 0.0000
0.0000 4.9972 0.0000
0.0000 0.0000 5.3303
In Tc Te Mo
1 1 1 2
direct
0.0000 0.0000 0.0000
0.5000 0.5000 0.5000
0.0000 0.0000 0.5000
0.0000 0.5000 0.0000
0.5000 0.0000 0.0000
```

Output
For the energy relative to the elements, uncorrected, the calculation gives 2632 meV/atom. The crystal system is tetragonal. The value obtained for the density is 6640 kg/m3. Its electronic total energy is -24.7 eV for the cell shown.

No. 2
Entry from Alexandria: an optimized crystal structure of CrNiAs2 (GGA-PBE).

```
CrNiAs2
1.0
3.1009 0.0000 0.0000
0.0000 4.5520 0.0000
-1.5440 0.0000 4.2967
Cr Ni As
1 1 2
direct
0.0000 0.0000 0.0000
0.5898 0.5000 0.1790
0.7064 0.0000 0.4145
0.8873 0.5000 0.7723
```

Output
The energy relative to the elements comes out at -0.023 eV per atom. The crystal system is monoclinic. The value obtained for the density is 7133 kg/m3. Its electronic total energy is -24.8 eV for the cell shown.

No. 3
Entry from Alexandria: an optimized crystal structure of Be3CuN (GGA-PBE).

```
Be3CuN
1.0
3.9555 0.0000 0.0000
0.0000 3.9555 0.0000
0.0000 0.0000 3.9555
Be Cu N
3 1 1
direct
0.0000 0.0000 0.5000
0.0000 0.5000 0.0000
0.5000 0.0000 0.0000
0.0000 0.0000 0.0000
0.5000 0.5000 0.5000
```

Output
For the energy relative to the elements, uncorrected, the calculation gives 1586 meV/atom. The crystal system is cubic. The value obtained for the density is 2806 kg/m3. Its electronic total energy is -15.7 eV for the cell shown.

No. 4
Entry from Alexandria: an optimized crystal structure of NpHgSe2 (GGA-PBE).

```
NpHgSe2
1.0
1.9878 1.1476 8.7442
-1.9878 1.1476 8.7442
0.0000 -2.2953 8.7442
Np Hg Se
1 1 2
direct
0.0000 0.0000 0.0000
0.5000 0.5000 0.5000
0.1022 0.1022 0.1022
0.8978 0.8978 0.8978
```

Output
For the energy relative to the elements, uncorrected, the calculation gives 155 meV/atom. The crystal system is trigonal. The value obtained for the density is 8262 kg/m3. Its electronic total energy is -19.6 eV for the cell shown.

No. 5
Entry from Alexandria: an optimized crystal structure of Zn10AgAu4 (GGA-PBE).

```
Zn10AgAu4
1.0
2.2853 1.3194 15.2610
-2.2853 1.3194 15.2610
0.0000 -2.6389 15.2610
Zn Ag Au
10 1 4
direct
0.0419 0.0419 0.0419
0.1598 0.1598 0.1598
0.2406 0.2406 0.2406
0.3587 0.3587 0.3587
0.4399 0.4399 0.4399
0.5601 0.5601 0.5601
0.6414 0.6414 0.6414
0.7594 0.7594 0.7594
0.8402 0.8402 0.8402
0.9581 0.9581 0.9581
0.5000 0.5000 0.5000
0.1008 0.1008 0.1008
0.2997 0.2997 0.2997
0.7003 0.7003 0.7003
0.8992 0.8992 0.8992
```

Output
The energy relative to the elements comes out at -0.082 eV per atom. The crystal system is trigonal. The value obtained for the density is 9321 kg/m3. Its electronic total energy is -29.9 eV for the cell shown.

No. 6
Entry from Alexandria: an optimized crystal structure of Ho4TlPbSe2 (GGA-PBE).

```
Ho4TlPbSe2
1.0
6.7972 0.0000 0.0000
0.0000 3.9549 0.0000
-2.3172 0.0000 7.8968
Ho Tl Pb Se
4 1 1 2
direct
0.2375 0.0000 0.2167
0.2579 0.5000 0.7834
0.7421 0.5000 0.2166
0.7625 0.0000 0.7833
0.0000 0.0000 0.5000
0.5000 0.5000 0.5000
0.0000 0.5000 0.0000
0.5000 0.0000 0.0000
```

Output
For the energy relative to the elements, uncorrected, the calculation gives -1054 meV/atom. The crystal system is monoclinic. The value obtained for the density is 9615 kg/m3. Its electronic total energy is -39.8 eV for the cell shown.

No. 7
Entry from Alexandria: an optimized crystal structure of Sr3Ca3PPb2 (GGA-PBE).

```
Sr3Ca3PPb2
1.0
8.6018 0.0000 0.0000
-4.3009 7.4494 0.0000
0.0000 0.0000 4.7243
Sr Ca P Pb
3 3 1 2
direct
0.0000 0.5965 0.0000
0.4035 0.4035 0.0000
0.5965 0.0000 0.0000
0.0000 0.2434 0.5000
0.2434 0.0000 0.5000
0.7566 0.7566 0.5000
0.0000 0.0000 0.0000
0.3333 0.6667 0.5000
0.6667 0.3333 0.5000
```

Output
The energy relative to the elements comes out at -0.584 eV per atom. The crystal system is hexagonal. The value obtained for the density is 4544 kg/m3. Its electronic total energy is -29.1 eV for the cell shown.

No. 8
Entry from Alexandria: an optimized crystal structure of EuGeSb (GGA-PBE).

```
EuGeSb
1.0
-1.9155 1.9155 5.4191
1.9155 -1.9155 5.4191
1.9155 1.9155 -5.4191
Eu Ge Sb
1 1 1
direct
0.0000 0.0000 0.0000
0.6967 0.6967 0.0000
0.3020 0.3020 0.0000
```

Output
For the energy relative to the elements, uncorrected, the calculation gives -441 meV/atom. The crystal system is tetragonal. The value obtained for the density is 7231 kg/m3. Its electronic total energy is -20.3 eV for the cell shown.

No. 9
Entry from Alexandria: an optimized crystal structure of TbLu3H (GGA-PBE).

```
TbLu3H
1.0
4.8955 0.0000 0.0000
0.0000 4.8955 0.0000
0.0000 0.0000 4.8955
Tb Lu H
1 3 1
direct
0.0000 0.0000 0.0000
0.0000 0.5000 0.5000
0.5000 0.0000 0.5000
0.5000 0.5000 0.0000
0.5000 0.5000 0.5000
```

Output
The crystal system is cubic. The value obtained for the density is 9693 kg/m3. Its electronic total energy is -22.3 eV for the cell shown.

No. 10
Entry from Alexandria: an optimized crystal structure of RbTi2AsI (GGA-PBE).

```
RbTi2AsI
1.0
5.2066 0.0000 0.0000
0.0000 5.2066 0.0000
0.0000 0.0000 5.9499
Rb Ti As I
1 2 1 1
direct
0.0000 0.0000 0.0000
0.0000 0.5000 0.5000
0.5000 0.0000 0.5000
0.5000 0.5000 0.0000
0.5000 0.5000 0.5000
```

Output
For the energy relative to the elements, uncorrected, the calculation gives 946 meV/atom. The crystal system is tetragonal. The value obtained for the density is 3943 kg/m3. Its electronic total energy is -18.2 eV for the cell shown.

No. 11
Entry from Alexandria: an optimized crystal structure of NpPaTcSn (GGA-PBE).

```
NpPaTcSn
1.0
0.0000 3.4770 3.4770
3.4770 0.0000 3.4770
3.4770 3.4770 0.0000
Np Pa Tc Sn
1 1 1 1
direct
0.0000 0.0000 0.0000
0.2500 0.2500 0.2500
0.5000 0.5000 0.5000
0.7500 0.7500 0.7500
```

Output
The energy relative to the elements comes out at 0.041 eV per atom. The crystal system is cubic. The value obtained for the density is 13525 kg/m3. Its electronic total energy is -36.6 eV for the cell shown.